No. 1
RbCrTe3 | PBE-GGA | optimized geometry

The calculation puts the raw formation energy at -0.1 eV per formula unit. Its energy above the most stable polymorph in this dataset is 0.347 eV per atom. For the density of states at the Fermi level, the calculation gives 10.32 states/eV per cell.

The space group is Pm-3m (No. 221) and the conventional cell measures 5.2992, 5.2992 and 5.2992 Å, with angles of 90.00, 90.00 and 90.00 degrees. The asymmetric unit holds Rb at (0.0000, 0.0000, 0.0000), Cr at (0.5000, 0.5000, 0.5000) and Te at (0.0000, 0.5000, 0.5000).

***

No. 2
SmDy4Tm | PBE-GGA | optimized geometry

Its energy above the most stable polymorph in this dataset is 0.000 eV per atom. Its energy of formation from the pure elements is 0.0009 eV/atom. For the density of states at the Fermi level, the calculation gives 31.03 states/eV per cell.

The space group is Cmc2_1 (No. 36) and the conventional cell measures 3.5593, 18.4733 and 11.4826 Å, with angles of 90.00, 90.00 and 90.00 degrees. The asymmetric unit holds Sm at (0.0000, 0.1669, 0.0000), Dy at (0.0000, 0.0558, 0.2498), Dy at (0.0000, 0.1666, 0.4983), Dy at (0.0000, 0.3886, 0.2493), Dy at (0.0000, 0.4993, 0.0000) and Tm at (0.0000, 0.2777, 0.7493).

***

No. 3
Zr2ReCl | PBE-GGA | optimized geometry

The calculation puts the raw formation energy at -0.2 eV per formula unit. Its energy above the most stable polymorph in this dataset is 0.576 eV per atom. For the density of states at the Fermi level, the calculation gives 4.93 states/eV per cell.

The space group is P4/mmm (No. 123) and the conventional cell measures 4.8967, 4.8967 and 3.1320 Å, with angles of 90.00, 90.00 and 90.00 degrees. The asymmetric unit holds Zr at (0.0000, 0.5000, 0.0000), Re at (0.0000, 0.0000, 0.5000) and Cl at (0.5000, 0.5000, 0.5000).

***

No. 4
Tm2CdS4 | PBE-GGA | optimized geometry

The calculation puts the raw formation energy at -11.8 eV per formula unit.

The space group is Fd-3m (No. 227, origin choice 2) and the conventional cell measures 11.1810, 11.1810 and 11.1810 Å, with angles of 90.00, 90.00 and 90.00 degrees. The asymmetric unit holds Tm at (0.0000, 0.0000, 0.0000), Cd at (0.1250, 0.1250, 0.6250) and S at (0.0083, 0.0083, 0.2417).

***

No. 5
Ca2MoOs | PBE-GGA | optimized geometry

Its energy above the most stable polymorph in this dataset is 0.809 eV per atom. Its energy of formation from the pure elements is 1.0566 eV/atom. For the density of states at the Fermi level, the calculation gives 16.42 states/eV per cell.

The space group is Fm-3m (No. 225) and the conventional cell measures 7.0203, 7.0203 and 7.0203 Å, with angles of 90.00, 90.00 and 90.00 degrees. The asymmetric unit holds Ca at (0.2500, 0.2500, 0.2500), Mo at (0.0000, 0.0000, 0.0000) and Os at (0.0000, 0.0000, 0.5000).

***

No. 6
Ce2TmCo2 | PBE-GGA | optimized geometry

Its energy of formation from the pure elements is -0.1716 eV/atom. For the density of states at the Fermi level, the calculation gives 29.28 states/eV per cell.

The space group is C2/m (No. 12) and the conventional cell measures 14.5866, 3.6541 and 9.5509 Å, with angles of 90.00, 123.86 and 90.00 degrees. The asymmetric unit holds Ce at (0.0868, 0.0000, 0.4483), Ce at (0.1366, 0.5000, 0.1706), Tm at (0.1543, 0.5000, 0.8213), Co at (0.0646, 0.0000, 0.9412) and Co at (0.2255, 0.5000, 0.5733).